Crystalline Zr2NbSb4 at its relaxed geometry. Source: Alexandria, functional PBE-GGA.

Calculated values
energy = -6.581 eV/atom
density = 6.92 Mg/m³
formation energy (no corrections) = -345 meV per atom

Lattice parameters (Å, degrees): 14.952 3.898 7.031 90.00 116.80 90.00
Space group C2/m (No. 12)
Inequivalent atoms, fractional coordinates:
1 Zr 0.242 0.000 0.237 [4 per cell]
2 Nb 0.000 0.000 0.000 [2 per cell]
3 Sb 0.110 0.500 0.309 [4 per cell]
4 Sb 0.115 0.000 0.775 [4 per cell]